(1)
Pm5HgOs2 | PBE | optimized geometry

Computed properties:
Raw total energy = -6.0557 eV per atom
Density of states at the Fermi level = 13.276 states/eV/cell
Space group = No. 140
ΔE_f = -0.24 eV per atom

POSCAR file:
```
Pm5HgOs2
1.0
7.185 0.000 -3.392
-1.601 7.004 -3.392
-0.200 -0.251 8.883
Hg Pm Os
2 10 4
Cartesian
1.296 1.626 2.746 Hg
4.088 5.128 -0.646 Hg
1.299 0.013 5.736 Pm
2.515 4.771 2.344 Pm
4.604 1.269 3.432 Pm
0.780 5.485 -1.332 Pm
2.792 3.502 -3.392 Pm
2.869 1.983 -0.244 Pm
0.000 0.000 0.000 Pm
6.174 3.239 -2.548 Pm
4.085 6.741 -3.636 Pm
-0.790 3.515 4.648 Pm
5.161 4.477 -5.088 Os
0.423 2.527 -1.696 Os
1.214 6.029 -4.143 Os
4.370 0.975 -2.640 Os
```

(2)
BaLa3As | PBE | optimized geometry

Computed properties:
Raw total energy = -3.4940 eV per atom
Density of states at the Fermi level = 7.041 states/eV/cell
Space group = No. 221
Energy above the most stable polymorph in this dataset = 1173 meV per atom
ΔE_f = 0.78 eV per atom

POSCAR file:
```
BaLa3As
1.0
-4.524 -2.643 -2.498
2.842 -5.057 0.203
-2.269 -1.065 5.236
La Ba As
3 1 1
Cartesian
-1.135 -0.532 2.618 La
1.421 -2.529 0.102 La
-2.262 -1.321 -1.249 La
0.000 0.000 0.000 Ba
-1.976 -4.383 1.470 As
```